The following is a DFT calculation (PBE+U) of crystalline Fe3BrF at its relaxed geometry.

Values from the calculation:
uncorrected energy = -3.422 eV/atom

Lattice parameters (Å, degrees): 4.366 4.366 4.366 90.00 90.00 90.00
Site moments in Bohr magnetons follow the coordinates.
Fractional positions:
Br: 0.500 0.500 0.500  0.08
F: 0.000 0.000 0.000  0.02
Fe: 0.500 0.000 0.000  3.37
Fe: 0.000 0.500 0.000  3.43
Fe: 0.000 0.000 0.500  3.37